Entry 1:
! NaErAgPb (PBE, optimized geometry); values from VASP
&SYSTEM
  ibrav = 0, nat = 4, ntyp = 4
/
ATOMIC_SPECIES
Pb 207.20 Pb.upf
Na 22.99 Na.upf
Ag 107.87 Ag.upf
Er 167.26 Er.upf
ATOMIC_POSITIONS crystal
Pb 0.750 0.750 0.750
Na 0.500 0.500 0.500
Ag 0.250 0.250 0.250
Er 0.000 0.000 0.000
CELL_PARAMETERS angstrom
5.193 0.000 0.000
2.596 4.497 0.000
2.596 1.499 4.240
! N(E_F): 0.579 states/eV/atom
! V: 99 Å³/f.u.
! space-group type: F-43m
! ΔE_f: -225 meV/atom

=====

Entry 2:
! NaErAgPd (PBE, optimized geometry); values from VASP
&SYSTEM
  ibrav = 0, nat = 4, ntyp = 4
/
ATOMIC_SPECIES
Na 22.99 Na.upf
Pd 106.42 Pd.upf
Ag 107.87 Ag.upf
Er 167.26 Er.upf
ATOMIC_POSITIONS crystal
Na 0.500 0.500 0.500
Pd 0.750 0.750 0.750
Ag 0.250 0.250 0.250
Er 0.000 0.000 0.000
CELL_PARAMETERS angstrom
4.924 0.000 0.000
2.462 4.264 0.000
2.462 1.421 4.021
! N(E_F): 0.547 states/eV/atom
! V: 84 Å³/f.u.
! space-group type: F-43m
! ΔE_f: -309 meV/atom

=====

Entry 3:
! NaEr2AgS4 (PBE, optimized geometry); values from VASP
&SYSTEM
  ibrav = 0, nat = 16, ntyp = 4
/
ATOMIC_SPECIES
Na 22.99 Na.upf
Er 167.26 Er.upf
Ag 107.87 Ag.upf
S 32.06 S.upf
ATOMIC_POSITIONS crystal
Na 0.000 0.500 0.000
Na 0.000 0.500 0.500
Er 0.500 0.000 0.000
Er 0.500 0.000 0.500
Er 0.000 0.000 0.500
Er 0.500 0.500 0.000
Ag 0.500 0.500 0.500
Ag 0.000 0.000 0.000
S 0.271 0.756 0.014
S 0.744 0.229 0.486
S 0.256 0.771 0.514
S 0.729 0.244 0.986
S 0.744 0.756 0.010
S 0.744 0.756 0.490
S 0.256 0.244 0.510
S 0.256 0.244 0.990
CELL_PARAMETERS angstrom
7.911 -0.009 0.106
-0.014 7.911 0.106
-3.944 -3.947 5.483
! N(E_F): 0.000 states/eV/atom
! V: 175 Å³/f.u.
! formation energy from raw total energies: -1566 meV per atom
! space-group type: Imma